The following is a PBE calculation of an optimized crystal structure of YHRu3, from Alexandria.

Cell lengths 4.0862, 4.0862, 4.0862 Å; angles 90.00, 90.00, 90.00 degrees
Positions (direct):
Y1 0.0000 0.0000 0.0000
H1 0.5000 0.5000 0.5000
Ru1 0.0000 0.5000 0.5000
Ru2 0.5000 0.0000 0.5000
Ru3 0.5000 0.5000 0.0000

Computed properties:
Space group: Pm-3m (221)
ΔE to the lowest computed polymorph, eV per atom: 0.0000
Crystal system: cubic

The following is a PBE calculation of an optimized crystal structure of Y3HRu, from Alexandria.

Cell lengths 4.6711, 4.6711, 4.6711 Å; angles 90.00, 90.00, 90.00 degrees
Positions (direct):
Y1 0.0000 0.0000 0.5000
Y2 0.0000 0.5000 0.0000
Y3 0.5000 0.0000 0.0000
H1 0.0000 0.0000 0.0000
Ru1 0.5000 0.5000 0.5000

Computed properties:
Space group: Pm-3m (221)
ΔE to the lowest computed polymorph, eV per atom: 0.0000
Crystal system: cubic

The following is a PBE calculation of an optimized crystal structure of YH3Ru, from Alexandria.

Cell lengths 3.9146, 3.9146, 3.9146 Å; angles 90.00, 90.00, 90.00 degrees
Positions (direct):
Y1 0.0000 0.0000 0.0000
H1 0.0000 0.0000 0.5000
H2 0.0000 0.5000 0.0000
H3 0.5000 0.0000 0.0000
Ru1 0.5000 0.5000 0.5000

Computed properties:
E, eV/cell: -23.09
Space group: Pm-3m (221)
Crystal system: cubic

The following is a PBE calculation of an optimized crystal structure of YH2Ru2, from Alexandria.

Cell lengths 5.2098, 5.2098, 5.2098 Å; angles 138.87, 138.87, 59.58 degrees
Positions (direct):
Y1 0.0000 0.0000 0.0000
H1 0.2500 0.7500 0.5000
H2 0.7500 0.2500 0.5000
Ru1 0.3157 0.3157 0.0000
Ru2 0.6843 0.6843 0.0000

Computed properties:
E, eV/cell: -31.63
Space group: I4/mmm (139)
Crystal system: tetragonal